Density functional theory data (PBE) for a relaxed structure of Sn3OsF.

The structure in CIF format:
```
data_Sn3OsF
_chemical_formula_sum 'Sn3 Os1 F1'
_cell_length_a 4.701
_cell_length_b 4.701
_cell_length_c 4.701
_cell_angle_alpha 90.00
_cell_angle_beta 90.00
_cell_angle_gamma 90.00
_space_group_name_H-M_alt 'P 1'
_space_group_IT_number 1
loop_
_space_group_symop_operation_xyz
'x,y,z'
loop_
_atom_site_label
_atom_site_type_symbol
_atom_site_fract_x
_atom_site_fract_y
_atom_site_fract_z
Sn1 Sn 0.000 0.000 0.500
Sn2 Sn 0.000 0.500 0.000
Sn3 Sn 0.500 0.000 0.000
Os1 Os 0.500 0.500 0.500
F1 F 0.000 0.000 0.000
```

Raw formation energy, eV per atom: 0.38
Offset from the most stable computed form, meV per atom: 586
DOS at the Fermi energy, states/eV per cell: 3.34